{
  "formula": "RbGe3Ru",
  "functional": "PBEsol",
  "state": "relaxed",
  "space_group": "Pm-3m, No. 221",
  "ef_ev_per_atom": 2.57,
  "lattice": [[-2.2744, 1.5301, 4.4278], [-4.6702, -1.1282, -2.0091], [0.3690, -4.8483, 1.8649]],
  "species": ["Ge", "Ge", "Ge", "Ru", "Rb"],
  "frac_coords": [[0.5000, 0.0000, 0.0000], [0.0000, 0.0000, 0.5000], [0.0000, 0.5000, 0.0000], [0.5000, 0.5000, 0.5000], [0.0000, 0.0000, 0.0000]]
}

{
  "formula": "ZnPPtO2",
  "functional": "PBEsol",
  "state": "relaxed",
  "formation_energy_uncorrected_ev_per_atom": 0.34,
  "space_group": "P4/mmm, No. 123",
  "lattice": [[3.5243, 0.0000, 0.0000], [0.0000, 3.5243, 0.0000], [0.0000, 0.0000, 6.3543]],
  "species": ["P", "Pt", "O", "O", "Zn"],
  "frac_coords": [[0.0000, 0.0000, 0.5000], [0.5000, 0.5000, 0.5000], [0.0000, 0.5000, 0.0000], [0.5000, 0.0000, 0.0000], [0.0000, 0.0000, 0.0000]]
}

{
  "formula": "LiAlCdGe2",
  "functional": "PBEsol",
  "state": "relaxed",
  "space_group": "P4/mmm, No. 123",
  "ef_ev_per_atom": 0.44,
  "lattice": [[-0.5981, -1.7283, -4.1987], [0.3635, -4.2396, 1.6934], [-4.5555, -0.1128, 0.6953]],
  "species": ["Ge", "Ge", "Li", "Cd", "Al"],
  "frac_coords": [[0.0000, 0.5000, 0.0000], [0.5000, 0.0000, 0.0000], [0.0000, 0.0000, 0.0000], [0.5000, 0.5000, 0.5000], [0.0000, 0.0000, 0.5000]]
}

{
  "formula": "CsInRu3",
  "functional": "PBEsol",
  "state": "relaxed",
  "space_group": "Pm-3m, No. 221",
  "ef_ev_per_atom": 2.73,
  "lattice": [[4.8074, 0.0000, 0.0000], [0.0000, 4.8074, 0.0000], [0.0000, 0.0000, 4.8074]],
  "species": ["In", "Ru", "Ru", "Ru", "Cs"],
  "frac_coords": [[0.5000, 0.5000, 0.5000], [0.0000, 0.0000, 0.5000], [0.0000, 0.5000, 0.0000], [0.5000, 0.0000, 0.0000], [0.0000, 0.0000, 0.0000]]
}

{
  "formula": "SrTaNO2",
  "functional": "PBEsol",
  "state": "relaxed",
  "formation_energy_uncorrected_ev_per_atom": -2.48,
  "space_group": "Pmc2_1, No. 26",
  "lattice": [[-2.0967, -3.1154, -1.2936], [3.4558, -3.5422, 2.9296], [-3.4460, 0.4203, 4.5732]],
  "species": ["O", "O", "O", "O", "N", "N", "Sr", "Sr", "Ta", "Ta"],
  "frac_coords": [[0.0000, 0.0226, 0.2174], [0.5000, 0.7731, 0.9893], [0.5000, 0.2269, 0.4893], [0.0000, 0.9774, 0.7174], [0.0000, 0.4856, 0.7620], [0.0000, 0.5144, 0.2620], [0.5000, 0.2396, 0.0173], [0.5000, 0.7604, 0.5173], [0.0000, 0.7362, 0.0141], [0.0000, 0.2638, 0.5141]]
}

{
  "formula": "KZrSeBr2",
  "functional": "PBEsol",
  "state": "relaxed",
  "formation_energy_uncorrected_ev_per_atom": 0.38,
  "space_group": "P4/mmm, No. 123",
  "lattice": [[5.3904, 0.0000, 0.0000], [0.0000, 5.3904, 0.0000], [0.0000, 0.0000, 5.5730]],
  "species": ["Se", "Br", "Br", "K", "Zr"],
  "frac_coords": [[0.0000, 0.0000, 0.5000], [0.5000, 0.0000, 0.0000], [0.0000, 0.5000, 0.0000], [0.0000, 0.0000, 0.0000], [0.5000, 0.5000, 0.5000]]
}

{
  "formula": "BaTaHg2",
  "functional": "PBEsol",
  "state": "relaxed",
  "space_group": "I-4m2, No. 119",
  "ef_ev_per_atom": 0.63,
  "lattice": [[-0.0569, 4.4278, 0.2097], [-3.6370, 0.0732, -2.5337], [-1.0642, -2.4855, 5.3340]],
  "species": ["Hg", "Hg", "Ba", "Ta"],
  "frac_coords": [[0.0000, 0.0000, 0.0000], [0.7500, 0.2500, 0.5000], [0.2500, 0.7500, 0.5000], [0.5000, 0.5000, 0.0000]]
}

{
  "formula": "In4SiOs",
  "functional": "PBEsol",
  "state": "relaxed",
  "formation_energy_uncorrected_ev_per_atom": 1.03,
  "space_group": "F-43m, No. 216",
  "lattice": [[-0.0513, -0.3870, 5.6115], [-0.1844, -5.0507, 2.4694], [4.5117, -1.9648, 2.7251]],
  "species": ["Os", "In", "In", "In", "In", "Si"],
  "frac_coords": [[0.7500, 0.7500, 0.7500], [0.3753, 0.3753, 0.8741], [0.3753, 0.8741, 0.3753], [0.3753, 0.3753, 0.3753], [0.8741, 0.3753, 0.3753], [0.0000, 0.0000, 0.0000]]
}

{
  "formula": "CuPbO2",
  "functional": "PBEsol",
  "state": "relaxed",
  "formation_energy_uncorrected_ev_per_atom": -0.82,
  "space_group": "Imma, No. 74",
  "lattice": [[4.8273, 0.0000, 0.0000], [0.0000, 5.3483, 0.0000], [-2.4137, -2.6741, 4.2971]],
  "species": ["O", "O", "O", "O", "Pb", "Pb", "Cu", "Cu"],
  "frac_coords": [[0.3336, 0.3336, 0.1671], [0.6664, 0.1664, 0.8329], [0.3336, 0.8336, 0.1671], [0.6664, 0.6664, 0.8329], [0.2353, 0.2500, 0.5000], [0.7647, 0.7500, 0.5000], [0.0000, 0.5000, 0.0000], [0.5000, 0.0000, 0.0000]]
}

{
  "formula": "Be2TcW",
  "functional": "PBEsol",
  "state": "relaxed",
  "space_group": "Amm2, No. 38",
  "e_above_lowest_polymorph_mev_per_atom": 0.0,
  "ef_ev_per_atom": -0.19,
  "lattice": [[3.1177, 0.0000, 0.0000], [0.0000, 3.1936, 0.0000], [-1.5588, 0.0000, 4.3853]],
  "species": ["Be", "Be", "Tc", "W"],
  "frac_coords": [[0.8163, 0.0000, 0.6326], [0.6811, 0.5000, 0.3622], [0.0974, 0.0000, 0.1948], [0.4038, 0.5000, 0.8075]]
}

{
  "formula": "MgTl3Cd",
  "functional": "PBEsol",
  "state": "relaxed",
  "space_group": "Pm-3m, No. 221",
  "ef_ev_per_atom": 0.39,
  "lattice": [[-5.3375, 0.5530, -1.3627], [-0.4334, -5.4938, -0.5316], [-1.4053, -0.4058, 5.3397]],
  "species": ["Tl", "Tl", "Tl", "Cd", "Mg"],
  "frac_coords": [[0.0000, 0.0000, 0.5000], [0.0000, 0.5000, 0.0000], [0.5000, 0.0000, 0.0000], [0.0000, 0.0000, 0.0000], [0.5000, 0.5000, 0.5000]]
}

{
  "formula": "Ba2LiSb2",
  "functional": "PBEsol",
  "state": "relaxed",
  "formation_energy_uncorrected_ev_per_atom": -0.34,
  "space_group": "I4/mmm, No. 139",
  "lattice": [[4.5013, 0.0000, 0.0000], [0.0000, 4.5013, 0.0000], [-2.2507, -2.2507, 10.0744]],
  "species": ["Li", "Ba", "Ba", "Sb", "Sb"],
  "frac_coords": [[0.0000, 0.0000, 0.0000], [0.3809, 0.3809, 0.7618], [0.6191, 0.6191, 0.2382], [0.2500, 0.7500, 0.5000], [0.7500, 0.2500, 0.5000]]
}